An optimized crystal structure of VWO2. Source: the Alexandria database, functional PBE+U.

Results
ΔE to the lowest computed polymorph (eV/f.u.): 3.57
Theoretical density (kg/m3): 10120
Crystal system: cubic
Size of the total moment (μB per formula unit): 2.99

Unit cell a=3.956 b=3.956 c=3.956 alpha=60.00 beta=60.00 gamma=60.00
Each line ends with the local moment (μB).
Element x y z (fractional)
O: 0.250 0.250 0.250  0.03
O: 0.750 0.750 0.750  0.03
V: 0.000 0.000 0.000  2.79
W: 0.500 0.500 0.500  -0.13